# KOsW2

An optimized crystal structure of KOsW2 (GGA-PBE, Alexandria via LeMat-Bulk).

For the density of states at the Fermi level, the calculation gives 9.3 states/eV per cell. As for the electronic total energy: -64.943 eV per cell. As for the crystal system: orthorhombic. For the formation energy, the calculation gives 33.22 kcal/mol of atoms. For the offset from the most stable computed form, the calculation gives 618 meV/atom.

The space group is Imm2 (No. 44) and the conventional cell measures 2.902, 5.215 and 10.034 Å, with angles of 90.00, 90.00 and 90.00 degrees. The asymmetric unit holds K at (0.000, 0.000, 0.000), Os at (0.000, 0.500, 0.780), W at (0.000, 0.000, 0.490) and W at (0.000, 0.500, 0.212).